No. 1
Entry from the Alexandria database: a relaxed V3Co crystal (PBE-GGA).

Unit cell a=2.5374 b=4.8048 c=8.5060 alpha=97.54 beta=90.00 gamma=90.00
Closest atoms and distances in Å follow each position.
Atoms (fractional coordinates):
V 0.7500 0.8993 0.1265  4 V 2.35-2.54, 2 Co 2.59
V 0.2500 0.1007 0.8735  4 V 2.35-2.54, 2 Co 2.59
V 0.7500 0.4120 0.1296  4 V 2.35-2.54, 2 Co 2.56
V 0.2500 0.5880 0.8704  4 V 2.35-2.54, 2 Co 2.56
V 0.7500 0.2751 0.5963  4 Co 2.43-2.46, 2 V 2.54
V 0.2500 0.7249 0.4037  4 Co 2.43-2.46, 2 V 2.54
Co 0.7500 0.7905 0.6505  8 V 2.43-2.59, 2 Co 2.54
Co 0.2500 0.2095 0.3495  8 V 2.43-2.59, 2 Co 2.54

Summary:
uncorrected energy = -8.56 eV/atom


No. 2
Entry from the Alexandria database: a relaxed V3Co2 crystal (PBE-GGA).

Unit cell a=2.7860 b=8.9112 c=10.0910 alpha=90.00 beta=90.00 gamma=90.00
Closest atoms and distances in Å follow each position.
Atoms (fractional coordinates):
V 0.2500 0.6088 0.5494  4 Co 2.36-2.42, 4 V 2.59-2.64
V 0.2500 0.8912 0.0494  4 Co 2.36-2.42, 4 V 2.59-2.64
V 0.7500 0.3912 0.4506  4 Co 2.36-2.42, 4 V 2.59-2.64
V 0.7500 0.1088 0.9506  4 Co 2.36-2.42, 4 V 2.59-2.64
V 0.7500 0.0906 0.5676  5 Co 2.48-2.57, 4 V 2.53-2.54
V 0.7500 0.4094 0.0676  5 Co 2.48-2.57, 4 V 2.53-2.54
V 0.2500 0.9094 0.4324  5 Co 2.48-2.57, 4 V 2.53-2.54
V 0.2500 0.5906 0.9324  5 Co 2.48-2.57, 4 V 2.53-2.54
V 0.2500 0.3051 0.6596  3 Co 2.27-2.45, 2 V 2.54
V 0.2500 0.1949 0.1596  3 Co 2.27-2.45, 2 V 2.54
V 0.7500 0.6949 0.3404  3 Co 2.27-2.45, 2 V 2.54
V 0.7500 0.8051 0.8404  3 Co 2.27-2.45, 2 V 2.54
Co 0.2500 0.1910 0.3847  5 V 2.27-2.48
Co 0.2500 0.3090 0.8847  5 V 2.27-2.48
Co 0.7500 0.8090 0.6153  5 V 2.27-2.48
Co 0.7500 0.6910 0.1153  5 V 2.27-2.48
Co 0.7500 0.5176 0.7286  6 V 2.42-2.57
Co 0.7500 0.9824 0.2286  6 V 2.42-2.57
Co 0.2500 0.4824 0.2714  6 V 2.42-2.57
Co 0.2500 0.0176 0.7714  6 V 2.42-2.57

Summary:
uncorrected energy = -8.27 eV/atom


No. 3
Entry from the Alexandria database: a relaxed V2Co crystal (PBE-GGA).

Unit cell a=4.6042 b=8.9491 c=8.9491 alpha=90.00 beta=90.00 gamma=90.00
Closest atoms and distances in Å follow each position.
Atoms (fractional coordinates):
V 0.5000 0.8928 0.1072  3 V 2.46-2.71, 6 Co 2.67-2.69
V 0.5000 0.1072 0.8928  3 V 2.46-2.71, 6 Co 2.67-2.69
V 0.0000 0.3928 0.3928  3 V 2.46-2.71, 6 Co 2.67-2.69
V 0.0000 0.6072 0.6072  3 V 2.46-2.71, 6 Co 2.67-2.69
V 0.5000 0.9634 0.3733  2 V 2.36-2.46, 4 Co 2.54
V 0.5000 0.0366 0.6267  2 V 2.36-2.46, 4 Co 2.54
V 0.0000 0.4634 0.1267  2 V 2.36-2.46, 4 Co 2.54
V 0.0000 0.5366 0.8733  2 V 2.36-2.46, 4 Co 2.54
V 0.5000 0.3733 0.9634  2 V 2.36-2.46, 4 Co 2.54
V 0.5000 0.6267 0.0366  2 V 2.36-2.46, 4 Co 2.54
V 0.0000 0.1267 0.4634  2 V 2.36-2.46, 4 Co 2.54
V 0.0000 0.8733 0.5366  2 V 2.36-2.46, 4 Co 2.54
V 0.2477 0.6780 0.3220  2 V 2.28-2.32, 1 Co 2.54
V 0.2477 0.3220 0.6780  2 V 2.28-2.32, 1 Co 2.54
V 0.7477 0.1780 0.1780  2 V 2.28-2.32, 1 Co 2.54
V 0.7477 0.8220 0.8220  2 V 2.28-2.32, 1 Co 2.54
V 0.7523 0.3220 0.6780  2 V 2.28-2.32, 1 Co 2.54
V 0.7523 0.6780 0.3220  2 V 2.28-2.32, 1 Co 2.54
V 0.2523 0.8220 0.8220  2 V 2.28-2.32, 1 Co 2.54
V 0.2523 0.1780 0.1780  2 V 2.28-2.32, 1 Co 2.54
Co 0.5000 0.5000 0.5000  4 Co 2.40, 8 V 2.54-2.67
Co 0.0000 0.0000 0.0000  4 Co 2.40, 8 V 2.54-2.67
Co 0.5000 0.2410 0.4300  2 Co 2.39-2.40, 8 V 2.54-2.61
Co 0.5000 0.7590 0.5700  2 Co 2.39-2.40, 8 V 2.54-2.61
Co 0.0000 0.7410 0.0700  2 Co 2.39-2.40, 8 V 2.54-2.61
Co 0.0000 0.2590 0.9300  2 Co 2.39-2.40, 8 V 2.54-2.61
Co 0.5000 0.4300 0.2410  2 Co 2.39-2.40, 8 V 2.54-2.61
Co 0.5000 0.5700 0.7590  2 Co 2.39-2.40, 8 V 2.54-2.61
Co 0.0000 0.0700 0.7410  2 Co 2.39-2.40, 8 V 2.54-2.61
Co 0.0000 0.9300 0.2590  2 Co 2.39-2.40, 8 V 2.54-2.61

Summary:
uncorrected energy = -8.64 eV/atom


No. 4
Entry from the Alexandria database: a relaxed V3Co8 crystal (PBE-GGA).

Unit cell a=5.5539 b=5.5539 c=5.5539 alpha=69.36 beta=69.36 gamma=69.36
Closest atoms and distances in Å follow each position.
Atoms (fractional coordinates):
V 0.5000 0.0000 0.5000  2 Co 2.12
V 0.0000 0.5000 0.5000  2 Co 2.12
V 0.5000 0.5000 0.0000  2 Co 2.12
Co 0.9009 0.3313 0.1705  6 Co 2.38-2.56, 2 V 2.47-2.61
Co 0.3313 0.1705 0.9009  6 Co 2.38-2.56, 2 V 2.47-2.61
Co 0.1705 0.9009 0.3313  6 Co 2.38-2.56, 2 V 2.47-2.61
Co 0.4192 0.4192 0.4192  1 Co 2.03, 3 V 2.12
Co 0.5808 0.5808 0.5808  1 Co 2.03, 3 V 2.12
Co 0.8295 0.0991 0.6687  6 Co 2.38-2.56, 2 V 2.47-2.61
Co 0.6687 0.8295 0.0991  6 Co 2.38-2.56, 2 V 2.47-2.61
Co 0.0991 0.6687 0.8295  6 Co 2.38-2.56, 2 V 2.47-2.61

Summary:
uncorrected energy = -7.12 eV/atom


No. 5
Entry from the Alexandria database: a relaxed V5Co crystal (PBE-GGA).

Unit cell a=2.9694 b=4.1847 c=6.3604 alpha=90.00 beta=103.50 gamma=90.00
Closest atoms and distances in Å follow each position.
Atoms (fractional coordinates):
V 0.3085 0.0000 0.6170  2 Co 2.51, 6 V 2.57-2.60
V 0.6359 0.0000 0.2719  2 Co 2.51, 6 V 2.57-2.60
V 0.4722 0.5000 0.9444  4 V 2.53, 4 Co 2.57
V 0.8063 0.5000 0.6126  8 V 2.53-2.57
V 0.1382 0.5000 0.2764  8 V 2.53-2.57
Co 0.9722 0.0000 0.9444  8 V 2.51-2.57

Summary:
uncorrected energy = -8.88 eV/atom
excess energy over the best structure of this formula in the dataset = 0.0000 eV per atom


No. 6
Entry from the Alexandria database: a relaxed V13Co2 crystal (PBE-GGA).

Unit cell a=6.5771 b=6.5771 c=7.2320 alpha=62.95 beta=62.95 gamma=60.00
Closest atoms and distances in Å follow each position.
Atoms (fractional coordinates):
V 0.5000 0.5000 0.5000  2 Co 2.39, 6 V 2.46
V 0.3946 0.9976 0.2131  2 Co 2.37-2.50, 5 V 2.52-2.61
V 0.3946 0.3946 0.2131  2 Co 2.37-2.50, 5 V 2.52-2.61
V 0.9976 0.3946 0.2131  2 Co 2.37-2.50, 5 V 2.52-2.61
V 0.0024 0.6054 0.7869  2 Co 2.37-2.50, 5 V 2.52-2.61
V 0.6054 0.0024 0.7869  2 Co 2.37-2.50, 5 V 2.52-2.61
V 0.6054 0.6054 0.7869  2 Co 2.37-2.50, 5 V 2.52-2.61
V 0.2535 0.8694 0.6236  6 V 2.46-2.53
V 0.2535 0.2535 0.6236  6 V 2.46-2.53
V 0.8694 0.2535 0.6236  6 V 2.46-2.53
V 0.1306 0.7465 0.3764  6 V 2.46-2.53
V 0.7465 0.1306 0.3764  6 V 2.46-2.53
V 0.7465 0.7465 0.3764  6 V 2.46-2.53
Co 0.3706 0.3706 0.8881  7 V 2.37-2.50
Co 0.6294 0.6294 0.1119  7 V 2.37-2.50

Summary:
uncorrected energy = -8.28 eV/atom


No. 7
Entry from the Alexandria database: a relaxed V7Co crystal (PBE-GGA).

Unit cell a=4.1842 b=4.1842 c=6.6116 alpha=108.45 beta=108.45 gamma=90.00
Closest atoms and distances in Å follow each position.
Atoms (fractional coordinates):
V 0.8757 0.3757 0.7514  6 V 2.54-2.59, 2 Co 2.56
V 0.7468 0.7468 0.4936  8 V 2.54-2.59
V 0.6243 0.1243 0.2486  6 V 2.54-2.59, 2 Co 2.56
V 0.5000 0.5000 0.0000  8 V 2.56
V 0.3757 0.8757 0.7514  6 V 2.54-2.59, 2 Co 2.56
V 0.2532 0.2532 0.5064  8 V 2.54-2.59
V 0.1243 0.6243 0.2486  6 V 2.54-2.59, 2 Co 2.56
Co 0.0000 0.0000 0.0000  8 V 2.56

Summary:
uncorrected energy = -8.95 eV/atom


No. 8
Entry from the Alexandria database: a relaxed V3Co crystal (PBE-GGA).

Unit cell a=3.7103 b=3.7103 c=3.7103 alpha=90.00 beta=90.00 gamma=90.00
Closest atoms and distances in Å follow each position.
Atoms (fractional coordinates):
Co 0.0000 0.0000 0.0000  12 V 2.62
V 0.0000 0.5000 0.5000  8 V 2.62, 4 Co 2.62
V 0.5000 0.0000 0.5000  8 V 2.62, 4 Co 2.62
V 0.5000 0.5000 0.0000  4 Co 2.62, 8 V 2.62

Summary:
uncorrected energy = -8.54 eV/atom


No. 9
Entry from the Alexandria database: a relaxed V3Co crystal (PBE-GGA).

Unit cell a=3.4946 b=3.4946 c=4.8541 alpha=111.10 beta=111.10 gamma=90.00
Closest atoms and distances in Å follow each position.
Atoms (fractional coordinates):
Co 0.0000 0.0000 0.0000  12 V 2.47-2.72
V 0.7500 0.2500 0.5000  8 V 2.47-2.72, 4 Co 2.72
V 0.2500 0.7500 0.5000  8 V 2.47-2.72, 4 Co 2.72
V 0.5000 0.5000 0.0000  4 Co 2.47, 8 V 2.72

Summary:
uncorrected energy = -8.60 eV/atom


No. 10
Entry from the Alexandria database: a relaxed V5Co crystal (PBE-GGA).

Unit cell a=2.9588 b=4.2176 c=6.5073 alpha=108.91 beta=90.00 gamma=90.00
Closest atoms and distances in Å follow each position.
Atoms (fractional coordinates):
Co 0.0000 0.0000 0.0000  8 V 2.52-2.58
V 0.5000 0.8348 0.6695  2 Co 2.52, 6 V 2.57-2.58
V 0.0000 0.6645 0.3291  8 V 2.51-2.58
V 0.5000 0.5000 0.0000  4 V 2.51, 4 Co 2.58
V 0.0000 0.3355 0.6709  8 V 2.51-2.58
V 0.5000 0.1652 0.3305  2 Co 2.52, 6 V 2.57-2.58

Summary:
uncorrected energy = -8.88 eV/atom
excess energy over the best structure of this formula in the dataset = 0.0037 eV per atom


Q: Which value of uncorrected energy does entry 10 give?
A: -8.88 eV/atom


Q: What is the uncorrected energy in the ninth record?
A: -8.60 eV/atom


Q: What is the formula in the first record?
A: V3Co